No. 1
! PBE Li6AcIn6, relaxed; values from VASP
&SYSTEM
  ibrav = 0, nat = 13, ntyp = 3
/
ATOMIC_SPECIES
Li 6.94 Li.upf
In 114.82 In.upf
Ac 227.00 Ac.upf
ATOMIC_POSITIONS angstrom
Li 4.3247 3.5068 -0.0559
In 2.8831 4.6032 2.3570
Ac 0.0000 0.0000 0.0000
Li 4.3247 0.0280 3.5072
In 8.6493 5.5841 5.4520
In 5.7662 2.4785 2.4198
Li 5.7662 1.6646 5.3669
Li 1.4416 3.5068 -0.0559
In 2.8831 1.4856 1.4505
Li 5.7662 5.4052 1.5356
Li 1.4416 0.0280 3.5072
In 2.8831 2.4665 4.5455
In 5.7662 4.5913 4.4826
CELL_PARAMETERS angstrom
5.7662 0.0000 0.0000
2.8831 7.0136 -0.1118
2.8831 0.0561 7.0143
! Fermi-level density of states: 4.548 states/eV/f.u.
! Theoretical density: 5.60 g cm⁻³
! ΔE_f: -0.315 eV/atom
! E: -2.78 eV per atom
! M_tot: 0.0 μB per formula unit
! SG: No. 71



No. 2
! PBE Li4AcIn15, relaxed; values from VASP
&SYSTEM
  ibrav = 0, nat = 20, ntyp = 3
/
ATOMIC_SPECIES
Li 6.94 Li.upf
In 114.82 In.upf
Ac 227.00 Ac.upf
ATOMIC_POSITIONS angstrom
Li 0.0000 0.0000 14.0479
In 2.3070 2.3070 9.5087
In 2.3070 0.0000 20.9024
In 0.0000 2.3070 7.1902
In 0.0000 2.3070 20.9024
In 2.3070 0.0000 2.6543
In 2.3070 2.3070 14.0480
In 0.0000 2.3070 2.6543
In 0.0000 2.3070 11.7783
In 2.3070 2.3070 18.6883
In 2.3070 2.3070 4.8684
In 2.3070 2.3070 0.0000
Li 0.0000 0.0000 9.5088
In 2.3070 0.0000 16.3665
Ac 0.0000 0.0000 0.0000
Li 0.0000 0.0000 4.8278
Li 0.0000 0.0000 18.7289
In 2.3070 0.0000 11.7783
In 2.3070 0.0000 7.1902
In 0.0000 2.3070 16.3665
CELL_PARAMETERS angstrom
4.6140 0.0000 0.0000
0.0000 4.6140 0.0000
0.0000 0.0000 23.5567
! Fermi-level density of states: 5.690 states/eV/f.u.
! Theoretical density: 6.55 g cm⁻³
! ΔE_f: -0.169 eV/atom
! E: -2.81 eV per atom
! M_tot: 0.0 μB per formula unit
! SG: No. 123



Which value of Fermi-level density of states does entry 1 give?
4.548 states/eV/f.u.